1.
The following is a DFT calculation (GGA-PBE) of crystalline Rb4PbO4 at its relaxed geometry.

It has space group P2_1/c (No. 14), with a = 11.393 Å, b = 7.221 Å, c = 11.639 Å, α = 90.00°, β = 110.24° and γ = 90.00°. The asymmetric unit holds Rb at (0.052, 0.083, 0.190), Rb at (0.166, 0.601, 0.091), Rb at (0.365, 0.664, 0.891), Rb at (0.433, 0.199, 0.798), Pb at (0.245, 0.131, 0.996), O at (0.066, 0.245, 0.968), O at (0.226, 0.508, 0.332), O at (0.307, 0.541, 0.653) and O at (0.375, 0.148, 0.532).

2.
The following is a DFT calculation (GGA-PBE) of crystalline Rb2PbO at its relaxed geometry.

It has space group I-42d (No. 122), with a = 11.181 Å, b = 11.181 Å, c = 4.954 Å, α = 90.00°, β = 90.00° and γ = 90.00°. The asymmetric unit holds Rb at (0.081, 0.750, 0.125), Pb at (0.000, 0.000, 0.500) and O at (0.000, 0.000, 0.000).

The energy above the most stable polymorph in this dataset is 0.0 meV per atom.

Table of energy relative to the elements, uncorrected (eV/atom), in record order: -1.22, -0.44